(1)
A plane-wave DFT calculation with PBE was carried out for crystalline Na4Ho3TaS8 at its relaxed geometry.

The space group is R-3m (No. 166, hexagonal axes) and the conventional cell measures 7.7252, 7.7252 and 20.1358 Å, with angles of 90.00, 90.00 and 120.00 degrees. The distinct sites, in fractional coordinates, are Na at (0.0000, 0.0000, 0.0000), Na at (0.0000, 0.5000, 0.0000), Ho at (0.0000, 0.5000, 0.5000), Ta at (0.0000, 0.0000, 0.5000), S at (0.0000, 0.0000, 0.2433) and S at (0.0178, 0.5089, 0.2406).

The size of the total moment comes out at 1.8 μB per formula unit. The formation energy without anion corrections is -1.586 eV per atom. The crystal system is trigonal. The total energy comes out at -5.578 eV/atom.



(2)
A plane-wave DFT calculation with PBE was carried out for crystalline ReAgTe2 at its relaxed geometry.

The space group is R-3m (No. 166, hexagonal axes) and the conventional cell measures 3.8893, 3.8893 and 25.4312 Å, with angles of 90.00, 90.00 and 120.00 degrees. The distinct sites, in fractional coordinates, are Re at (0.0000, 0.0000, 0.0000), Ag at (0.0000, 0.0000, 0.5000) and Te at (0.0000, 0.0000, 0.3937).

The size of the total moment comes out at 1.8 μB per formula unit. The formation energy without anion corrections is 0.360 eV per atom. Its polymorph energy (0 for the lowest one) is 0.045 eV per atom. The crystal system is trigonal. The total energy comes out at -5.036 eV/atom.



(3)
A plane-wave DFT calculation with PBE was carried out for crystalline TaInIrPd at its relaxed geometry.

The space group is F-43m (No. 216) and the conventional cell measures 6.483, 6.483 and 6.483 Å, with angles of 90.00, 90.00 and 90.00 degrees. The distinct sites, in fractional coordinates, are Ta at (0.000, 0.000, 0.000), In at (0.000, 0.000, 0.500), Ir at (0.250, 0.250, 0.750) and Pd at (0.250, 0.250, 0.250).

The size of the total moment comes out at 0.0 μB per formula unit. Its formation energy is -0.29 eV per atom. The crystal system is cubic. The total energy comes out at -7.448 eV/atom.



(4)
A plane-wave DFT calculation with PBE was carried out for crystalline TaAlF2 at its relaxed geometry.

The space group is R-3m (No. 166, hexagonal axes) and the conventional cell measures 3.3916, 3.3916 and 16.2109 Å, with angles of 90.00, 90.00 and 120.00 degrees. The distinct sites, in fractional coordinates, are Ta at (0.0000, 0.0000, 0.0000), Al at (0.0000, 0.0000, 0.5000) and F at (0.0000, 0.0000, 0.1358).

The size of the total moment comes out at 0.0 μB per formula unit. The formation energy without anion corrections is -0.958 eV per atom. Its polymorph energy (0 for the lowest one) is 0.326 eV per atom. The crystal system is trigonal. The total energy comes out at -5.792 eV/atom.



(5)
A plane-wave DFT calculation with PBE was carried out for crystalline Y2Ho3Al3 at its relaxed geometry.

The space group is Pmmm (No. 47) and the conventional cell measures 4.778, 4.788 and 8.796 Å, with angles of 90.00, 90.00 and 90.00 degrees. The distinct sites, in fractional coordinates, are Y at (0.000, 0.000, 0.227), Ho at (0.000, 0.500, 0.500), Ho at (0.500, 0.500, 0.227), Al at (0.000, 0.500, 0.000), Al at (0.500, 0.000, 0.000) and Al at (0.500, 0.000, 0.500).

The size of the total moment comes out at 0.0 μB per formula unit. Its formation energy is -0.28 eV per atom. Its polymorph energy (0 for the lowest one) is 0.017 eV per atom. The crystal system is orthorhombic. The total energy comes out at -5.016 eV/atom.



What is the size of the total moment in the third record? 0.0 μB per formula unit